The following is a GGA-PBE calculation of a relaxed structure of Pm3Te2Br, from the Alexandria database.

Properties
Excess energy over the best structure of this formula in the dataset ... 0.1729 eV/atom
Magnetic moment ... 0.00 μB per formula unit
Formation energy from raw total energies ... -1.070 eV/atom
VASP energy ... -57.252 eV/cell

Cell lengths 6.1021, 8.6130, 8.6130 Å; angles 109.57, 90.00, 90.00 degrees
Element x y z (fractional)
Pm 0.9928 0.8395 0.4592
Pm 0.4928 0.5408 0.1605
Pm 0.9928 0.4592 0.8395
Pm 0.4928 0.1605 0.5408
Pm 0.4934 0.8870 0.8870
Pm 0.9934 0.1130 0.1130
Te 0.4929 0.7949 0.5095
Te 0.9929 0.4905 0.2051
Te 0.4929 0.5095 0.7949
Te 0.9929 0.2051 0.4905
Br 0.9932 0.8121 0.8121
Br 0.4932 0.1879 0.1879

The following is a GGA-PBE calculation of a relaxed structure of Pm3Te3Br2, from the Alexandria database.

Properties
Magnetic moment ... 0.00 μB per formula unit
Formation energy from raw total energies ... -1.364 eV/atom
VASP energy ... -37.931 eV/cell

Cell lengths 4.0798, 5.0163, 11.9095 Å; angles 102.16, 99.86, 90.00 degrees
Element x y z (fractional)
Pm 0.1577 0.1577 0.3154
Pm 0.0000 0.5000 0.0000
Pm 0.8423 0.8423 0.6846
Te 0.6160 0.6160 0.2319
Te 0.3840 0.3840 0.7681
Te 0.5000 0.0000 0.0000
Br 0.7547 0.2547 0.5093
Br 0.2453 0.7453 0.4907

The following is a GGA-PBE calculation of a relaxed structure of PmTe2Br8, from the Alexandria database.

Properties
Magnetic moment ... 1.07 μB per formula unit
Formation energy from raw total energies ... -0.709 eV/atom
VASP energy ... -32.213 eV/cell

Cell lengths 7.9621, 8.5017, 8.5017 Å; angles 62.14, 72.18, 72.18 degrees
Site moments in Bohr magnetons follow the coordinates.
Element x y z (fractional)
Pm 0.0000 0.0000 0.0000  0.00
Te 0.4517 0.1467 0.1467  0.20
Te 0.5483 0.8533 0.8533  0.20
Br 0.7754 0.1702 0.7394  0.05
Br 0.2246 0.2606 0.8298  0.05
Br 0.7262 0.2080 0.2080  0.02
Br 0.2738 0.7920 0.7920  0.02
Br 0.7754 0.7394 0.1702  0.05
Br 0.2246 0.8298 0.2606  0.05
Br 0.2113 0.3130 0.3130  0.04
Br 0.7887 0.6870 0.6870  0.04

The following is a GGA-PBE calculation of a relaxed structure of PmTeBr6, from the Alexandria database.

Properties
Magnetic moment ... 0.98 μB per formula unit
Formation energy from raw total energies ... -0.955 eV/atom
VASP energy ... -25.570 eV/cell

Cell lengths 7.2200, 7.4840, 7.5632 Å; angles 64.47, 63.28, 56.14 degrees
Site moments in Bohr magnetons follow the coordinates.
Element x y z (fractional)
Pm 0.5000 0.5000 0.5000  0.03
Te 0.0000 0.0000 0.0000  0.36
Br 0.1005 0.4404 0.7309  0.10
Br 0.7549 0.0740 0.7644  0.01
Br 0.5825 0.2328 0.2526  0.01
Br 0.2451 0.9260 0.2356  0.01
Br 0.8995 0.5596 0.2691  0.10
Br 0.4175 0.7672 0.7474  0.01

The following is a GGA-PBE calculation of a relaxed structure of Pm4Te4Br3, from the Alexandria database.

Properties
Magnetic moment ... 0.00 μB per formula unit
Formation energy from raw total energies ... -1.374 eV/atom
VASP energy ... -51.697 eV/cell

Cell lengths 4.2786, 8.4240, 10.9532 Å; angles 112.62, 101.26, 90.00 degrees
Element x y z (fractional)
Pm 0.2252 0.7252 0.4503
Pm 0.7748 0.2748 0.5497
Pm 0.5000 0.7880 0.0000
Pm 0.5000 0.2120 0.0000
Te 0.3384 0.1104 0.6768
Te 0.6616 0.4336 0.3232
Te 0.6616 0.8896 0.3232
Te 0.3384 0.5664 0.6768
Br 0.0773 0.0773 0.1545
Br 0.9227 0.9227 0.8455
Br 0.0000 0.5000 0.0000

The following is a GGA-PBE calculation of a relaxed structure of PmTeBr, from the Alexandria database.

Properties
Excess energy over the best structure of this formula in the dataset ... 0.2675 eV/atom
Magnetic moment ... 0.00 μB per formula unit
Formation energy from raw total energies ... -1.355 eV/atom
VASP energy ... -13.630 eV/cell

Cell lengths 4.2412, 4.9761, 4.9761 Å; angles 120.00, 90.00, 90.00 degrees
Element x y z (fractional)
Te 0.6666 0.3333 0.6667
Br 0.1664 0.0000 0.0000
Pm 0.1669 0.6667 0.3333

The following is a GGA-PBE calculation of a relaxed structure of Pm3TeBr3, from the Alexandria database.

Properties
Excess energy over the best structure of this formula in the dataset ... 0.0000 eV/atom
Magnetic moment ... 0.66 μB per formula unit
Formation energy from raw total energies ... -1.432 eV/atom
VASP energy ... -64.870 eV/cell

Cell lengths 7.2836, 7.2836, 11.6766 Å; angles 71.83, 71.83, 60.00 degrees
Site moments in Bohr magnetons follow the coordinates.
Element x y z (fractional)
Pm 0.2548 0.6385 0.1600  0.10
Pm 0.9467 0.2548 0.1600  0.10
Pm 0.6385 0.9467 0.1600  0.10
Pm 0.3615 0.0533 0.8400  0.10
Pm 0.0533 0.7452 0.8400  0.10
Pm 0.7452 0.3615 0.8400  0.10
Te 0.3333 0.3333 0.0000  0.00
Te 0.6667 0.6667 0.0000  0.00
Br 0.4570 0.7597 0.6750  0.00
Br 0.7597 0.1083 0.6750  0.00
Br 0.1083 0.4570 0.6750  0.00
Br 0.8917 0.5430 0.3250  0.00
Br 0.2403 0.8917 0.3250  0.00
Br 0.5430 0.2403 0.3250  0.00

The following is a GGA-PBE calculation of a relaxed structure of PmTeBr, from the Alexandria database.

Properties
Excess energy over the best structure of this formula in the dataset ... 0.1265 eV/atom
Magnetic moment ... 0.00 μB per formula unit
Formation energy from raw total energies ... -1.496 eV/atom
VASP energy ... -14.053 eV/cell

Cell lengths 5.2424, 5.2424, 5.2424 Å; angles 60.00, 60.00, 60.00 degrees
Element x y z (fractional)
Te 0.0000 0.0000 0.0000
Br 0.5000 0.5000 0.5000
Pm 0.2500 0.2500 0.2500

The following is a GGA-PBE calculation of a relaxed structure of Pm2TeBr, from the Alexandria database.

Properties
Excess energy over the best structure of this formula in the dataset ... 0.1942 eV/atom
Magnetic moment ... 0.00 μB per formula unit
Formation energy from raw total energies ... -1.016 eV/atom
VASP energy ... -18.379 eV/cell

Cell lengths 4.7360, 4.7360, 8.9277 Å; angles 74.62, 74.62, 60.00 degrees
Element x y z (fractional)
Te 0.5000 0.5000 0.5000
Br 0.0000 0.0000 0.0000
Pm 0.1130 0.1130 0.6610
Pm 0.8870 0.8870 0.3390

The following is a GGA-PBE calculation of a relaxed structure of Pm3TeBr7, from the Alexandria database.

Properties
Magnetic moment ... 0.15 μB per formula unit
Formation energy from raw total energies ... -1.785 eV/atom
VASP energy ... -48.734 eV/cell

Cell lengths 7.1738, 8.7145, 8.7145 Å; angles 120.00, 90.00, 90.00 degrees
Site moments in Bohr magnetons follow the coordinates.
Element x y z (fractional)
Pm 0.7805 0.4961 0.5039  0.00
Pm 0.7805 0.4961 0.9921  0.00
Pm 0.7805 0.0079 0.5039  0.00
Te 0.5258 0.3333 0.6667  0.06
Br 0.0055 0.1767 0.8233  0.01
Br 0.0055 0.1767 0.3534  0.01
Br 0.0141 0.6667 0.3333  0.00
Br 0.5724 0.8237 0.1763  0.00
Br 0.5724 0.3525 0.1763  0.00
Br 0.5724 0.8237 0.6475  0.00
Br 0.0055 0.6466 0.8233  0.01

The following is a GGA-PBE calculation of a relaxed structure of Pm2TeBr, from the Alexandria database.

Properties
Excess energy over the best structure of this formula in the dataset ... 0.0250 eV/atom
Magnetic moment ... 0.00 μB per formula unit
Formation energy from raw total energies ... -1.185 eV/atom
VASP energy ... -19.057 eV/cell

Cell lengths 4.0357, 4.0357, 8.6953 Å; angles 76.58, 76.58, 60.00 degrees
Element x y z (fractional)
Pm 0.0816 0.0816 0.7551
Pm 0.2517 0.2517 0.2448
Te 0.6662 0.6662 0.0014
Br 0.5004 0.5004 0.4988

The following is a GGA-PBE calculation of a relaxed structure of Pm2TeBr2, from the Alexandria database.

Properties
Magnetic moment ... 0.00 μB per formula unit
Formation energy from raw total energies ... -1.562 eV/atom
VASP energy ... -23.796 eV/cell

Cell lengths 4.3230, 4.3230, 11.1316 Å; angles 78.80, 78.80, 60.00 degrees
Element x y z (fractional)
Pm 0.6120 0.6120 0.1639
Pm 0.3880 0.3880 0.8361
Te 0.0000 0.0000 0.0000
Br 0.2246 0.2246 0.3263
Br 0.7754 0.7754 0.6737

The following is a GGA-PBE calculation of a relaxed structure of Pm3Te3Br, from the Alexandria database.

Properties
Magnetic moment ... 0.00 μB per formula unit
Formation energy from raw total energies ... -1.296 eV/atom
VASP energy ... -68.841 eV/cell

Cell lengths 6.1844, 9.9807, 9.9806 Å; angles 119.93, 90.00, 90.00 degrees
Element x y z (fractional)
Pm 0.7500 0.6874 0.8434
Pm 0.7500 0.1560 0.3125
Pm 0.7500 0.1560 0.8446
Pm 0.2500 0.3126 0.1566
Pm 0.2500 0.8440 0.6875
Pm 0.2500 0.8440 0.1554
Te 0.2500 0.6150 0.8071
Te 0.2500 0.1921 0.3850
Te 0.2500 0.1926 0.8082
Te 0.7500 0.3850 0.1929
Te 0.7500 0.8079 0.6150
Te 0.7500 0.8074 0.1918
Br 0.7500 0.3331 0.6669
Br 0.2500 0.6669 0.3331

The following is a GGA-PBE calculation of a relaxed structure of Pm3TeBr3, from the Alexandria database.

Properties
Excess energy over the best structure of this formula in the dataset ... 0.0271 eV/atom
Magnetic moment ... 0.00 μB per formula unit
Formation energy from raw total energies ... -1.405 eV/atom
VASP energy ... -128.982 eV/cell

Cell lengths 10.4944, 10.4944, 10.4944 Å; angles 109.47, 109.47, 109.47 degrees
Element x y z (fractional)
Pm 0.9922 0.4961 0.2461
Pm 0.5039 0.0078 0.2539
Pm 0.2500 0.0039 0.4961
Pm 0.9961 0.7500 0.0039
Pm 0.9961 0.2461 0.4922
Pm 0.7539 0.0039 0.0078
Pm 0.7461 0.4922 0.4961
Pm 0.7539 0.7500 0.2461
Pm 0.5078 0.2539 0.0039
Pm 0.2500 0.2461 0.2539
Pm 0.7461 0.2539 0.7500
Pm 0.5039 0.4961 0.7500
Te 0.7500 0.5000 0.0000
Te 0.5000 0.2500 0.5000
Te 0.7500 0.2500 0.2500
Te 0.0000 0.0000 0.2500
Br 0.2437 0.9937 0.9874
Br 0.7500 0.7563 0.7437
Br 0.4874 0.7437 0.9937
Br 0.0063 0.2500 0.9937
Br 0.2563 0.7437 0.2500
Br 0.4937 0.5063 0.2500
Br 0.2437 0.2500 0.7563
Br 0.2563 0.5126 0.5063
Br 0.7500 0.9937 0.5063
Br 0.0126 0.5063 0.7563
Br 0.0063 0.7563 0.5126
Br 0.4937 0.9874 0.7437

The following is a GGA-PBE calculation of a relaxed structure of Pm2TeBr, from the Alexandria database.

Properties
Excess energy over the best structure of this formula in the dataset ... 0.3618 eV/atom
Magnetic moment ... 0.00 μB per formula unit
Formation energy from raw total energies ... -0.848 eV/atom
VASP energy ... -17.709 eV/cell

Cell lengths 4.8290, 4.8259, 7.9527 Å; angles 72.50, 72.51, 60.28 degrees
Element x y z (fractional)
Pm 0.1258 0.5708 0.5211
Pm 0.5874 0.0322 0.1379
Te 0.7265 0.1716 0.7179
Br 0.2647 0.7100 0.1016

The following is a GGA-PBE calculation of a relaxed structure of Pm2TeBr, from the Alexandria database.

Properties
Excess energy over the best structure of this formula in the dataset ... 0.0000 eV/atom
Magnetic moment ... 0.00 μB per formula unit
Formation energy from raw total energies ... -1.210 eV/atom
VASP energy ... -19.156 eV/cell

Cell lengths 5.3414, 5.3414, 5.3414 Å; angles 60.00, 60.00, 60.00 degrees
Element x y z (fractional)
Te 0.0000 0.0000 0.0000
Br 0.5000 0.5000 0.5000
Pm 0.2500 0.2500 0.2500
Pm 0.7500 0.7500 0.7500

The following is a GGA-PBE calculation of a relaxed structure of Pm4TlTe2Br, from the Alexandria database.

Properties
Magnetic moment ... 0.00 μB per formula unit
Formation energy from raw total energies ... -1.080 eV/atom
VASP energy ... -37.966 eV/cell

Cell lengths 4.4657, 7.7201, 7.6266 Å; angles 70.53, 90.00, 90.00 degrees
Element x y z (fractional)
Pm 0.0000 0.7446 0.7552
Pm 0.0000 0.2554 0.2448
Pm 0.5000 0.7514 0.2401
Pm 0.5000 0.2486 0.7599
Tl 0.5000 0.5000 0.0000
Te 0.0000 0.0000 0.0000
Te 0.5000 0.0000 0.5000
Br 0.0000 0.5000 0.5000

The following is a GGA-PBE calculation of a relaxed structure of Pm2ThBr, from the Alexandria database.

Properties
Excess energy over the best structure of this formula in the dataset ... 0.1074 eV/atom
Magnetic moment ... 0.00 μB per formula unit
Formation energy from raw total energies ... -0.468 eV/atom
VASP energy ... -20.464 eV/cell

Cell lengths 3.6381, 3.6381, 9.5627 Å; angles 90.00, 90.00, 90.00 degrees
Element x y z (fractional)
Br 0.5000 0.5000 0.5000
Th 0.5000 0.5000 0.0000
Pm 0.0000 0.0000 0.7452
Pm 0.0000 0.0000 0.2548

The following is a GGA-PBE calculation of a relaxed structure of PmThBr5, from the Alexandria database.

Properties
Magnetic moment ... 0.02 μB per formula unit
Formation energy from raw total energies ... -1.625 eV/atom
VASP energy ... -63.818 eV/cell

Cell lengths 3.9551, 8.7352, 13.8503 Å; angles 93.93, 90.00, 90.00 degrees
Element x y z (fractional)
Pm 0.2500 0.4209 0.3417
Pm 0.7500 0.5791 0.6583
Th 0.7500 0.1083 0.1457
Th 0.2500 0.8917 0.8543
Br 0.2500 0.0736 0.3046
Br 0.7500 0.1421 0.9246
Br 0.7500 0.3220 0.4838
Br 0.2500 0.3585 0.1256
Br 0.2500 0.3579 0.7143
Br 0.7500 0.6421 0.2857
Br 0.7500 0.6415 0.8744
Br 0.2500 0.6780 0.5162
Br 0.2500 0.8579 0.0754
Br 0.7500 0.9264 0.6954

The following is a GGA-PBE calculation of a relaxed structure of Pm2ThBr, from the Alexandria database.

Properties
Excess energy over the best structure of this formula in the dataset ... 0.0000 eV/atom
Magnetic moment ... 0.00 μB per formula unit
Formation energy from raw total energies ... -0.575 eV/atom
VASP energy ... -20.894 eV/cell

Cell lengths 3.7353, 3.7353, 10.4888 Å; angles 79.74, 79.74, 60.00 degrees
Element x y z (fractional)
Br 0.0000 0.0000 0.0000
Th 0.5000 0.5000 0.5000
Pm 0.7432 0.7432 0.7703
Pm 0.2568 0.2568 0.2297